Mg2BeSb | PBE-GGA | relaxed

- raw formation energy (eV/f.u.) = 1.145
- space group = Cmm2, No. 35
- distance to the lowest polymorph of the same formula (kJ/mol of formula units) = 94
- size of the total moment (μB/cell) = 0.00

a = 3.187 Å, b = 3.187 Å, c = 8.429 Å
α = 90.00°, β = 90.00°, γ = 104.14°
Element x y z (fractional)
Be 0.500 0.500 0.753
Mg 0.000 0.000 0.959
Mg 0.500 0.500 0.239
Sb 0.000 0.000 0.549